# TbTlHgBi

An optimized crystal structure of TbTlHgBi (PBE, the Alexandria database).

a = 5.474 Å, b = 5.474 Å, c = 5.474 Å
α = 60.00°, β = 60.00°, γ = 60.00°
Atoms (fractional coordinates):
Hg 0.250 0.250 0.250
Tl 0.000 0.000 0.000
Tb 0.500 0.500 0.500
Bi 0.750 0.750 0.750

## Properties
* E_tot: -12.19 eV for the cell shown
* crystal system: cubic
* M_tot: 0.000 μB per cell
* calculated volume: 29.0 A^3/atom


# TbYHgBi

An optimized crystal structure of TbYHgBi (PBE, the Alexandria database).

a = 5.388 Å, b = 5.388 Å, c = 5.388 Å
α = 60.00°, β = 60.00°, γ = 60.00°
Atoms (fractional coordinates):
Tb 0.750 0.750 0.750
Bi 0.000 0.000 0.000
Hg 0.500 0.500 0.500
Y 0.250 0.250 0.250

## Properties
* E_tot: -17.34 eV for the cell shown
* crystal system: cubic
* M_tot: 0.000 μB per cell
* calculated volume: 27.6 A^3/atom


# TcHg2Bi

An optimized crystal structure of TcHg2Bi (PBE, the Alexandria database).

a = 8.436 Å, b = 8.436 Å, c = 6.580 Å
α = 50.13°, β = 50.13°, γ = 90.00°
Atoms (fractional coordinates):
Tc 0.250 0.750 0.500
Tc 0.500 0.500 0.000
Hg 0.375 0.420 0.750
Hg 0.875 0.830 0.750
Hg 0.580 0.125 0.250
Hg 0.170 0.625 0.250
Bi 0.750 0.250 0.500
Bi 0.000 0.000 0.000

## Properties
* E_tot: -24.16 eV for the cell shown
* crystal system: tetragonal
* M_tot: 3.999 μB per cell
* calculated volume: 24.7 A^3/atom


# Tc2HgBiTe

An optimized crystal structure of Tc2HgBiTe (PBE, the Alexandria database).

a = 5.204 Å, b = 5.454 Å, c = 5.204 Å
α = 90.00°, β = 90.00°, γ = 90.00°
Atoms (fractional coordinates):
Te 0.000 0.500 0.000
Hg 0.000 0.000 0.000
Tc 0.500 0.000 0.000
Tc 0.000 0.000 0.500
Bi 0.500 0.500 0.500

## Properties
* E_tot: -19.33 eV for the cell shown
* crystal system: tetragonal
* M_tot: 5.988 μB per cell
* calculated volume: 29.5 A^3/atom


# Hg3Bi5Te12

An optimized crystal structure of Hg3Bi5Te12 (PBE, the Alexandria database).

a = 15.849 Å, b = 15.849 Å, c = 15.849 Å
α = 109.47°, β = 109.47°, γ = 109.47°
Atoms (fractional coordinates):
Hg 0.375 0.625 0.250
Hg 0.375 0.750 0.625
Hg 0.250 0.125 0.375
Hg 0.750 0.875 0.625
Hg 0.625 0.375 0.750
Hg 0.750 0.375 0.125
Hg 0.125 0.250 0.875
Hg 0.250 0.625 0.875
Hg 0.875 0.750 0.125
Hg 0.125 0.875 0.750
Hg 0.875 0.125 0.250
Hg 0.625 0.250 0.375
Bi 0.250 0.375 0.625
Bi 0.375 0.125 0.750
Bi 0.875 0.625 0.750
Bi 0.000 0.500 0.000
Bi 0.375 0.250 0.125
Bi 0.250 0.875 0.125
Bi 0.000 0.000 0.000
Bi 0.625 0.875 0.250
Bi 0.625 0.750 0.875
Bi 0.125 0.375 0.250
Bi 0.500 0.000 0.000
Bi 0.000 0.000 0.500
Bi 0.500 0.500 0.000
Bi 0.750 0.625 0.375
Bi 0.875 0.250 0.625
Bi 0.125 0.750 0.375
Bi 0.000 0.500 0.500
Bi 0.750 0.125 0.875
Bi 0.500 0.000 0.500
Bi 0.500 0.500 0.500
Te 0.605 0.875 0.433
Te 0.895 0.067 0.625
Te 0.625 0.058 0.230
Te 0.058 0.433 0.828
Te 0.605 0.730 0.672
Te 0.172 0.067 0.942
Te 0.058 0.625 0.730
Te 0.942 0.567 0.172
Te 0.828 0.933 0.058
Te 0.328 0.558 0.433
Te 0.375 0.433 0.105
Te 0.730 0.605 0.172
Te 0.558 0.328 0.933
Te 0.933 0.828 0.558
Te 0.875 0.270 0.442
Te 0.230 0.558 0.625
Te 0.770 0.442 0.375
Te 0.433 0.375 0.605
Te 0.067 0.172 0.442
Te 0.125 0.395 0.067
Te 0.395 0.270 0.328
Te 0.105 0.933 0.375
Te 0.067 0.895 0.125
Te 0.328 0.770 0.395
Te 0.125 0.730 0.558
Te 0.942 0.375 0.270
Te 0.105 0.172 0.230
Te 0.895 0.828 0.770
Te 0.270 0.395 0.828
Te 0.933 0.105 0.875
Te 0.770 0.328 0.895
Te 0.442 0.672 0.067
Te 0.672 0.230 0.605
Te 0.672 0.442 0.567
Te 0.625 0.567 0.895
Te 0.567 0.625 0.395
Te 0.433 0.058 0.328
Te 0.442 0.770 0.875
Te 0.375 0.942 0.770
Te 0.270 0.875 0.942
Te 0.395 0.125 0.567
Te 0.828 0.895 0.270
Te 0.875 0.605 0.933
Te 0.558 0.230 0.125
Te 0.567 0.942 0.672
Te 0.730 0.125 0.058
Te 0.230 0.672 0.105
Te 0.172 0.105 0.730

## Properties
* E_tot: -221.23 eV for the cell shown
* crystal system: cubic
* M_tot: 0.000 μB per cell
* calculated volume: 38.3 A^3/atom


# Hg12Bi3Te5

An optimized crystal structure of Hg12Bi3Te5 (PBE, the Alexandria database).

a = 15.265 Å, b = 15.265 Å, c = 15.265 Å
α = 109.47°, β = 109.47°, γ = 109.47°
Atoms (fractional coordinates):
Hg 0.330 0.767 0.406
Hg 0.437 0.670 0.076
Hg 0.670 0.233 0.594
Hg 0.140 0.733 0.563
Hg 0.576 0.937 0.670
Hg 0.830 0.906 0.267
Hg 0.424 0.063 0.330
Hg 0.576 0.640 0.406
Hg 0.640 0.576 0.906
Hg 0.937 0.360 0.267
Hg 0.233 0.670 0.094
Hg 0.076 0.170 0.437
Hg 0.094 0.924 0.360
Hg 0.640 0.063 0.233
Hg 0.563 0.233 0.140
Hg 0.170 0.094 0.733
Hg 0.733 0.140 0.063
Hg 0.063 0.640 0.733
Hg 0.437 0.767 0.860
Hg 0.063 0.424 0.830
Hg 0.094 0.170 0.233
Hg 0.860 0.267 0.437
Hg 0.233 0.563 0.640
Hg 0.670 0.437 0.576
Hg 0.170 0.076 0.937
Hg 0.140 0.406 0.076
Hg 0.924 0.830 0.563
Hg 0.906 0.076 0.640
Hg 0.860 0.594 0.924
Hg 0.360 0.937 0.767
Hg 0.406 0.267 0.330
Hg 0.830 0.924 0.063
Hg 0.076 0.906 0.140
Hg 0.767 0.437 0.360
Hg 0.267 0.860 0.937
Hg 0.424 0.360 0.594
Hg 0.563 0.330 0.924
Hg 0.406 0.140 0.576
Hg 0.937 0.576 0.170
Hg 0.330 0.563 0.424
Hg 0.594 0.860 0.424
Hg 0.733 0.594 0.170
Hg 0.360 0.424 0.094
Hg 0.906 0.830 0.767
Hg 0.767 0.330 0.906
Hg 0.267 0.406 0.830
Hg 0.924 0.094 0.860
Hg 0.594 0.733 0.670
Te 0.000 0.500 0.500
Te 0.500 0.500 0.000
Te 0.875 0.250 0.625
Te 0.500 0.500 0.500
Te 0.250 0.875 0.125
Te 0.375 0.250 0.125
Te 0.000 0.500 0.000
Te 0.000 0.000 0.000
Te 0.125 0.750 0.375
Te 0.250 0.375 0.625
Te 0.750 0.625 0.375
Te 0.750 0.125 0.875
Te 0.500 0.000 0.000
Te 0.875 0.625 0.750
Te 0.625 0.750 0.875
Te 0.375 0.125 0.750
Te 0.000 0.000 0.500
Te 0.500 0.000 0.500
Te 0.125 0.375 0.250
Te 0.625 0.875 0.250
Bi 0.750 0.375 0.125
Bi 0.375 0.750 0.625
Bi 0.375 0.625 0.250
Bi 0.875 0.125 0.250
Bi 0.625 0.250 0.375
Bi 0.750 0.875 0.625
Bi 0.125 0.875 0.750
Bi 0.875 0.750 0.125
Bi 0.250 0.625 0.875
Bi 0.625 0.375 0.750
Bi 0.250 0.125 0.375
Bi 0.125 0.250 0.875

## Properties
* E_tot: -118.16 eV for the cell shown
* crystal system: cubic
* M_tot: 0.000 μB per cell
* calculated volume: 34.2 A^3/atom


# HgBiTe3

An optimized crystal structure of HgBiTe3 (PBE, the Alexandria database).

a = 4.599 Å, b = 7.568 Å, c = 13.769 Å
α = 128.38°, β = 90.00°, γ = 90.00°
Atoms (fractional coordinates):
Bi 0.750 0.820 0.829
Bi 0.250 0.180 0.171
Te 0.250 0.239 0.422
Te 0.250 0.442 0.695
Te 0.750 0.558 0.305
Te 0.750 0.761 0.578
Te 0.250 0.179 0.941
Te 0.750 0.821 0.059
Hg 0.250 0.052 0.680
Hg 0.750 0.948 0.320

## Properties
* E_tot: -27.95 eV for the cell shown
* crystal system: monoclinic
* M_tot: 0.000 μB per cell
* calculated volume: 37.6 A^3/atom


# Hg3BiTe

An optimized crystal structure of Hg3BiTe (PBE, the Alexandria database).

a = 5.777 Å, b = 5.777 Å, c = 5.777 Å
α = 90.00°, β = 90.00°, γ = 90.00°
Atoms (fractional coordinates):
Bi 0.000 0.000 0.000
Hg 0.500 0.000 0.000
Hg 0.000 0.500 0.000
Hg 0.000 0.000 0.500
Te 0.500 0.500 0.500

## Properties
* E_tot: -6.33 eV for the cell shown
* crystal system: cubic
* M_tot: 0.001 μB per cell
* calculated volume: 38.6 A^3/atom


# HgBiTe3

An optimized crystal structure of HgBiTe3 (PBE, the Alexandria database).

a = 5.964 Å, b = 5.964 Å, c = 5.964 Å
α = 90.00°, β = 90.00°, γ = 90.00°
Atoms (fractional coordinates):
Te 0.000 0.500 0.000
Te 0.000 0.000 0.500
Te 0.500 0.000 0.000
Hg 0.500 0.500 0.500
Bi 0.000 0.000 0.000

## Properties
* E_tot: -11.16 eV for the cell shown
* crystal system: cubic
* M_tot: 0.000 μB per cell
* calculated volume: 42.4 A^3/atom


# HgBi4Te7

An optimized crystal structure of HgBi4Te7 (PBE, the Alexandria database).

a = 4.455 Å, b = 4.455 Å, c = 24.414 Å
α = 90.00°, β = 90.00°, γ = 120.00°
Atoms (fractional coordinates):
Te 0.000 0.000 0.000
Te 0.333 0.667 0.430
Te 0.667 0.333 0.846
Te 0.333 0.667 0.154
Te 0.000 0.000 0.724
Te 0.667 0.333 0.570
Te 0.000 0.000 0.276
Bi 0.333 0.667 0.654
Bi 0.333 0.667 0.916
Bi 0.667 0.333 0.084
Bi 0.667 0.333 0.346
Hg 0.000 0.000 0.500

## Properties
* E_tot: -40.16 eV for the cell shown
* crystal system: trigonal
* M_tot: 0.000 μB per cell
* calculated volume: 35.0 A^3/atom


# HgBiTe3

An optimized crystal structure of HgBiTe3 (PBE, the Alexandria database).

a = 5.572 Å, b = 5.572 Å, c = 5.572 Å
α = 90.00°, β = 90.00°, γ = 90.00°
Atoms (fractional coordinates):
Te 0.000 0.000 0.500
Te 0.000 0.500 0.000
Te 0.500 0.000 0.000
Bi 0.500 0.500 0.500
Hg 0.000 0.000 0.000

## Properties
* E_tot: -10.85 eV for the cell shown
* crystal system: cubic
* M_tot: 0.000 μB per cell
* calculated volume: 34.6 A^3/atom


# HgBi2Te4

An optimized crystal structure of HgBi2Te4 (PBE, the Alexandria database).

a = 4.490 Å, b = 7.510 Å, c = 15.449 Å
α = 90.00°, β = 90.00°, γ = 107.39°
Atoms (fractional coordinates):
Te 0.776 0.552 0.375
Te 0.224 0.448 0.625
Te 0.224 0.448 0.875
Te 0.776 0.552 0.125
Te 0.037 0.074 0.250
Te 0.963 0.926 0.750
Te 0.500 0.000 0.000
Te 0.500 0.000 0.500
Hg 0.581 0.162 0.750
Hg 0.419 0.838 0.250
Bi 0.860 0.719 0.940
Bi 0.860 0.719 0.560
Bi 0.140 0.281 0.060
Bi 0.140 0.281 0.440

## Properties
* E_tot: -42.41 eV for the cell shown
* crystal system: orthorhombic
* M_tot: 0.000 μB per cell
* calculated volume: 35.5 A^3/atom